(1)
ZrScCl2 | PBE-GGA | optimized geometry

Polymorph energy (0 for the lowest one), eV/f.u.: 2.08
Total energy, eV/cell: -21.9
Energy relative to the elements, uncorrected, meV per atom: -832

abc: 3.3755 4.4168 5.5936
angles: 90.00 95.72 90.00
Fractional positions:
Zr: 0.0000 0.0000 0.0000
Sc: 0.5000 0.0000 0.5000
Cl: 0.2207 0.5000 0.2501
Cl: 0.7793 0.5000 0.7499

(2)
ScCu3 | PBE-GGA | optimized geometry

Total energy, eV/cell: -18.7

abc: 2.9116 4.2943 4.8960
angles: 90.00 90.14 90.00
Fractional positions:
Sc: 0.0000 0.0000 0.0000
Cu: 0.5000 0.0000 0.5000
Cu: 0.5004 0.5000 0.2507
Cu: 0.4996 0.5000 0.7493

(3)
Mn2Tc | PBE-GGA | optimized geometry

Polymorph energy (0 for the lowest one), eV/f.u.: 0.00
Total energy, eV/cell: -115.8

abc: 4.6606 4.6606 7.6338
angles: 90.00 90.00 120.00
Fractional positions:
Mn: 0.0000 0.0000 0.0000
Mn: 0.0000 0.0000 0.5000
Mn: 0.1738 0.3477 0.2500
Mn: 0.1738 0.8262 0.2500
Mn: 0.3477 0.1738 0.7500
Mn: 0.6523 0.8262 0.2500
Mn: 0.8262 0.1738 0.7500
Mn: 0.8262 0.6523 0.7500
Tc: 0.3333 0.6667 0.5680
Tc: 0.3333 0.6667 0.9320
Tc: 0.6667 0.3333 0.0680
Tc: 0.6667 0.3333 0.4320

(4)
Al2TeAs | PBE-GGA | optimized geometry

Polymorph energy (0 for the lowest one), eV/f.u.: 1.98
Total energy, eV/cell: -14.3
Energy relative to the elements, uncorrected, meV per atom: 245

abc: 5.6542 5.6542 5.6542
angles: 143.91 126.51 66.23
Fractional positions:
Al: 0.2243 0.2243 0.0000
Al: 0.7757 0.7757 0.0000
Te: 0.5000 0.0000 0.5000
As: 0.0000 0.5000 0.5000

(5)
CaSc4Tl5 | PBE-GGA | optimized geometry

Total energy, eV/cell: -42.0

abc: 3.6397 3.6397 18.4723
angles: 90.00 90.00 90.00
Fractional positions:
Ca: 0.0000 0.0000 0.0000
Sc: 0.0000 0.0000 0.2102
Sc: 0.0000 0.0000 0.4037
Sc: 0.0000 0.0000 0.5963
Sc: 0.0000 0.0000 0.7898
Tl: 0.5000 0.5000 0.1138
Tl: 0.5000 0.5000 0.3076
Tl: 0.5000 0.5000 0.5000
Tl: 0.5000 0.5000 0.6924
Tl: 0.5000 0.5000 0.8862

(6)
TmBi2IrO8 | PBE-GGA | optimized geometry

Total energy, eV/cell: -77.9
Energy relative to the elements, uncorrected, meV per atom: -1429

abc: 5.0638 6.7570 5.0864
angles: 90.00 90.31 90.00
Fractional positions:
Tm: 0.0000 0.0000 0.0000
Bi: 0.5000 0.2534 0.5000
Bi: 0.5000 0.7466 0.5000
Ir: 0.0000 0.5000 0.0000
O: 0.1603 0.2744 0.2005
O: 0.1603 0.7256 0.2005
O: 0.2927 0.5000 0.7709
O: 0.3241 0.0000 0.7057
O: 0.6759 0.0000 0.2943
O: 0.7073 0.5000 0.2291
O: 0.8397 0.2744 0.7995
O: 0.8397 0.7256 0.7995

(7)
Ac6SbTe3Pb2 | PBE-GGA | optimized geometry

Total energy, eV/cell: -59.8
Energy relative to the elements, uncorrected, meV per atom: -1181

abc: 10.7348 10.7348 9.5897
angles: 102.38 102.38 26.01
Fractional positions:
Ac: 0.0028 0.0028 0.2450
Ac: 0.3311 0.3311 0.4232
Ac: 0.3353 0.3353 0.9109
Ac: 0.6647 0.6647 0.0891
Ac: 0.6689 0.6689 0.5768
Ac: 0.9972 0.9972 0.7550
Sb: 0.5000 0.5000 0.0000
Te: 0.1656 0.1656 0.8332
Te: 0.5000 0.5000 0.5000
Te: 0.8344 0.8344 0.1668
Pb: 0.1662 0.1662 0.3313
Pb: 0.8338 0.8338 0.6687

(8)
TcBAu2 | PBE-GGA | optimized geometry

Polymorph energy (0 for the lowest one), eV/f.u.: 0.00
Total energy, eV/cell: -37.7

abc: 7.1794 7.1794 7.1794
angles: 139.18 139.18 59.10
Fractional positions:
Tc: 0.0000 0.0000 0.0000
Tc: 0.7500 0.2500 0.5000
B: 0.2500 0.7500 0.5000
B: 0.5000 0.5000 0.0000
Au: 0.2263 0.6250 0.1013
Au: 0.3750 0.4763 0.6013
Au: 0.5237 0.1250 0.8987
Au: 0.8750 0.7737 0.3987

(9)
Ba2Cd3GaSn4 | PBE-GGA | optimized geometry

Total energy, eV/cell: -29.6

abc: 5.0018 5.0018 11.8943
angles: 90.00 90.00 90.00
Fractional positions:
Ba: 0.0000 0.5000 0.2427
Ba: 0.5000 0.0000 0.7573
Cd: 0.0000 0.0000 0.0000
Cd: 0.0000 0.5000 0.6373
Cd: 0.5000 0.0000 0.3627
Ga: 0.5000 0.5000 0.0000
Sn: 0.0000 0.0000 0.5000
Sn: 0.0000 0.5000 0.8753
Sn: 0.5000 0.0000 0.1247
Sn: 0.5000 0.5000 0.5000

(10)
Nb2CrTe4 | PBE-GGA | optimized geometry

Total energy, eV/cell: -44.9
Energy relative to the elements, uncorrected, meV per atom: -361

abc: 7.6119 7.6119 6.8342
angles: 114.84 114.84 28.40
Fractional positions:
Nb: 0.2441 0.2441 0.1745
Nb: 0.7559 0.7559 0.8255
Cr: 0.5000 0.5000 0.5000
Te: 0.1395 0.1395 0.4756
Te: 0.4014 0.4014 0.0566
Te: 0.5986 0.5986 0.9434
Te: 0.8605 0.8605 0.5244

(11)
Nd4ErTm5 | PBE-GGA | optimized geometry

Polymorph energy (0 for the lowest one), eV/f.u.: 0.00
Total energy, eV/cell: -44.0

abc: 3.5060 8.6864 11.2502
angles: 90.04 90.00 101.57
Fractional positions:
Nd: 0.0322 0.0652 0.2496
Nd: 0.3424 0.6821 0.2500
Nd: 0.6576 0.3179 0.7500
Nd: 0.9678 0.9348 0.7504
Er: 0.5000 0.0000 0.5000
Tm: 0.1725 0.3457 0.0472
Tm: 0.1727 0.3461 0.4523
Tm: 0.5000 0.0000 0.0000
Tm: 0.8273 0.6539 0.5477
Tm: 0.8275 0.6543 0.9528

(12)
Tl2NiW | PBE-GGA | optimized geometry

Polymorph energy (0 for the lowest one), eV/f.u.: 1.50
Total energy, eV/cell: -19.9

abc: 5.5605 5.5605 5.5605
angles: 148.05 123.80 66.12
Fractional positions:
Tl: 0.2267 0.2267 0.0000
Tl: 0.7733 0.7733 0.0000
Ni: 0.0000 0.5000 0.5000
W: 0.5000 0.0000 0.5000

(13)
Zn2InSi | PBE-GGA | optimized geometry

Polymorph energy (0 for the lowest one), eV/f.u.: 0.31
Total energy, eV/cell: -9.5
Energy relative to the elements, uncorrected, meV per atom: 290

abc: 5.2781 5.2781 5.2781
angles: 134.65 134.65 66.08
Fractional positions:
Zn: 0.0000 0.0000 0.0000
Zn: 0.7500 0.2500 0.5000
In: 0.2500 0.7500 0.5000
Si: 0.5000 0.5000 0.0000